KGe3Bi: single point on PBEsol structure, SCAN.

The structure in POSCAR format:
```
KGe3Bi
1.0
5.540 0.000 0.000
0.000 5.540 0.000
0.000 0.000 5.540
K Ge Bi
1 3 1
Cartesian
0.000 0.000 0.000
0.000 2.770 2.770
2.770 0.000 2.770
2.770 2.770 0.000
2.770 2.770 2.770
```

The symmetry is No. 221. Its crystal system is cubic. The value obtained for the total magnetization is 0.000 μB per formula unit. The energy relative to the elements is 0.763 eV/atom.